[1]
A relaxed structure of Ta2InSb2, computed with PBE.

a = 7.6723 Å, b = 7.6723 Å, c = 3.7009 Å
α = 90.00°, β = 90.00°, γ = 90.00°
With the nearest neighbours (Å) after each atom.
Space group P4/mbm (No. 127)
Asymmetric unit:
Ta (0.1365, 0.3635, 0.0000) x4  6 Sb 2.90-2.93, 1 Ta 2.96, 2 In 2.98
In (0.0000, 0.0000, 0.0000) x2  4 Ta 2.98
Sb (0.1544, 0.6544, 0.5000) x4  6 Ta 2.90-2.93

Values from the calculation:
- Density: 10.98 g cm⁻³
- E_form (uncorrected): 0.13 eV/atom

---

[2]
A relaxed structure of Zr6Zn5Pd, computed with PBE.

a = 4.7719 Å, b = 6.5640 Å, c = 14.3650 Å
α = 90.00°, β = 90.00°, γ = 90.00°
With the nearest neighbours (Å) after each atom.
Space group Immm (No. 71)
Asymmetric unit:
Zr (0.0000, 0.2478, 0.0000) x4  6 Zn 2.89-2.91, 2 Pd 2.90
Zr (0.0000, 0.2510, 0.3325) x8  7 Zn 2.89-2.91, 1 Pd 2.92
Zn (0.0000, 0.0000, 0.1673) x4  8 Zr 2.89-2.90
Zn (0.0000, 0.5000, 0.1662) x4  8 Zr 2.89-2.91
Zn (0.0000, 0.5000, 0.5000) x2  8 Zr 2.89-2.91
Pd (0.0000, 0.0000, 0.5000) x2  8 Zr 2.90-2.92

Values from the calculation:
- Density: 7.24 g cm⁻³
- Total DFT energy (no corrections): -0.204 hartree per atom

---

[3]
A relaxed structure of Tb3Pr5Nd4, computed with PBE.

a = 6.3479 Å, b = 7.3217 Å, c = 8.9881 Å
α = 89.96°, β = 89.88°, γ = 89.88°
With the nearest neighbours (Å) after each atom.
Space group P-1 (No. 2)
Asymmetric unit:
Tb (0.0000, 0.0000, 0.0000) x1  8 Pr 3.65-3.67, 2 Nd 3.66, 2 Tb 3.67
Tb (0.1668, 0.2494, 0.3330) x2  5 Pr 3.65-3.67, 6 Nd 3.65-3.67, 1 Tb 3.67
Pr (0.0000, 0.5000, 0.0000) x1  4 Pr 3.65-3.68, 4 Tb 3.66-3.67, 4 Nd 3.67-3.68
Pr (0.3307, 0.9995, 0.6662) x2  5 Nd 3.64-3.69, 4 Tb 3.65-3.67, 3 Pr 3.67-3.68
Pr (0.4981, 0.2487, 0.0006) x2  6 Pr 3.64-3.68, 3 Tb 3.65-3.67, 3 Nd 3.68
Nd (0.1655, 0.7507, 0.3335) x2  5 Pr 3.64-3.69, 4 Tb 3.65-3.67, 3 Nd 3.66-3.67
Nd (0.3339, 0.5002, 0.6654) x2  4 Nd 3.64-3.67, 5 Pr 3.66-3.68, 3 Tb 3.66-3.67

Values from the calculation:
- Polymorph energy (0 for the lowest one): 0.000 eV/atom
- Density: 6.99 g cm⁻³

---

[4]
A relaxed structure of Rb3HSe2, computed with PBE.

a = 13.2461 Å, b = 5.2659 Å, c = 12.4409 Å
α = 90.00°, β = 90.00°, γ = 90.00°
With the nearest neighbours (Å) after each atom.
Space group Pnma (No. 62)
Asymmetric unit:
Rb (0.0483, 0.2500, 0.1318) x4  5 Se 3.38-3.74
Rb (0.0935, 0.7500, 0.5631) x4  5 Se 3.43-3.84, 2 H 3.44
Rb (0.2233, 0.2500, 0.7992) x4  2 H 3.25, 2 Se 3.42-3.43
H (0.2079, 0.2500, 0.4342) x4  1 Se 1.50
Se (0.0179, 0.7500, 0.2991) x4  7 Rb 3.38-3.47
Se (0.2023, 0.7500, 0.0071) x4  1 H 1.50

Values from the calculation:
- Density: 3.18 g cm⁻³
- Total DFT energy (no corrections): -0.112 hartree per atom

---

[5]
A relaxed structure of TlFe5, computed with PBE.

a = 3.1610 Å, b = 12.2855 Å, c = 4.2028 Å
α = 90.00°, β = 90.00°, γ = 90.00°
With the nearest neighbours (Å) after each atom.
Space group Cmmm (No. 65)
Asymmetric unit:
Tl (0.0000, 0.0000, 0.0000) x2  8 Fe 2.63-2.70
Fe (0.0000, 0.1692, 0.5000) x4  10 Fe 2.54-2.81
Fe (0.0000, 0.3215, 0.0000) x4  6 Fe 2.36-2.63
Fe (0.0000, 0.5000, 0.5000) x2  4 Fe 2.61, 4 Tl 2.63

Values from the calculation:
- Polymorph energy (0 for the lowest one): 0.059 eV/atom
- Density: 9.84 g cm⁻³

---

[6]
A relaxed structure of TbHfGa2, computed with PBE.

a = 3.5036 Å, b = 3.5036 Å, c = 25.1213 Å
α = 90.00°, β = 90.00°, γ = 120.00°
With the nearest neighbours (Å) after each atom.
Space group R-3m (No. 166, hexagonal axes)
Asymmetric unit:
Tb (0.0000, 0.0000, 0.0000) x3  6 Ga 3.00
Hf (0.0000, 0.0000, 0.5000) x3  6 Ga 2.83
Ga (0.0000, 0.0000, 0.2454) x6  3 Hf 2.83, 3 Tb 3.00

Values from the calculation:
- Polymorph energy (0 for the lowest one): 0.133 eV/atom
- Density: 8.90 g cm⁻³

---

[7]
A relaxed structure of Nd5HoEr2, computed with PBE.

a = 14.5957 Å, b = 12.1263 Å, c = 6.7025 Å
α = 90.00°, β = 113.75°, γ = 90.00°
With the nearest neighbours (Å) after each atom.
Space group C2/c (No. 15)
Asymmetric unit:
Nd (0.0000, 0.2391, 0.2500) x4  1 Ho 3.27, 4 Er 3.35, 2 Nd 3.61
Nd (0.1263, 0.2411, 0.8837) x8  5 Nd 3.31-3.67, 1 Ho 3.48, 2 Er 3.69-3.70
Nd (0.2391, 0.4872, 0.2097) x8  4 Nd 3.37-3.67, 3 Er 3.44-3.51, 2 Ho 3.61-3.62
Ho (0.0000, 0.4916, 0.7500) x4  7 Nd 3.27-3.62, 2 Ho 3.36
Er (0.0000, 0.0000, 0.0000) x4  6 Nd 3.35-3.70, 2 Er 3.35
Er (0.2500, 0.2500, 0.5000) x4  8 Nd 3.35-3.69

Values from the calculation:
- Polymorph energy (0 for the lowest one): 0.099 eV/atom
- Density: 7.47 g cm⁻³

---

[8]
A relaxed structure of CeLu2O, computed with PBE.

a = 3.0961 Å, b = 3.0961 Å, c = 8.4967 Å
α = 90.00°, β = 90.00°, γ = 90.00°
With the nearest neighbours (Å) after each atom.
Space group P4/mmm (No. 123)
Asymmetric unit:
Ce (0.0000, 0.0000, 0.0000) x1  4 Ce 3.10
Lu (0.5000, 0.5000, 0.3198) x2  4 O 2.67
O (0.0000, 0.0000, 0.5000) x1  8 Lu 2.67

Values from the calculation:
- Density: 10.32 g cm⁻³
- E_form (uncorrected): -0.83 eV/atom

---

[9]
A relaxed structure of ZnP, computed with PBE.

a = 9.6791 Å, b = 2.7155 Å, c = 7.5760 Å
α = 90.00°, β = 107.75°, γ = 90.00°
With the nearest neighbours (Å) after each atom.
Space group Cm (No. 8)
Asymmetric unit:
Zn (0.0000, 0.0000, 0.0000) x2  7 P 2.50-2.79, 2 Zn 2.72
Zn (0.1565, 0.0000, 0.6644) x2  7 P 2.52-2.81, 2 Zn 2.72
Zn (0.3179, 0.0000, 0.3231) x2  6 P 2.52-2.68, 2 Zn 2.72
P (0.0826, 0.5000, 0.3379) x2  7 Zn 2.53-2.79, 2 P 2.72
P (0.2430, 0.5000, 0.0048) x2  5 Zn 2.50-2.71, 2 P 2.72
P (0.4185, 0.0000, 0.6710) x2  6 Zn 2.52-2.74, 2 P 2.72

Values from the calculation:
- Density: 5.06 g cm⁻³
- Total DFT energy (no corrections): -0.113 hartree per atom

---

[10]
A relaxed structure of EuGdCuGe, computed with PBE.

a = 7.2106 Å, b = 7.2106 Å, c = 7.2106 Å
α = 90.00°, β = 90.00°, γ = 90.00°
With the nearest neighbours (Å) after each atom.
Space group F-43m (No. 216)
Asymmetric unit:
Eu (0.0000, 0.0000, 0.0000) x4  4 Cu 3.12, 4 Ge 3.12
Gd (0.0000, 0.0000, 0.5000) x4  4 Ge 3.12, 4 Cu 3.12
Cu (0.2500, 0.2500, 0.2500) x4  4 Gd 3.12, 4 Eu 3.12
Ge (0.2500, 0.2500, 0.7500) x4  4 Gd 3.12, 4 Eu 3.12

Values from the calculation:
- Density: 7.89 g cm⁻³
- Total DFT energy (no corrections): -0.320 hartree per atom

---

[11]
A relaxed structure of Tm8Tl2Os, computed with PBE.

a = 17.8542 Å, b = 5.2237 Å, c = 6.8863 Å
α = 90.00°, β = 111.92°, γ = 90.00°
With the nearest neighbours (Å) after each atom.
Space group C2/m (No. 12)
Asymmetric unit:
Tm (0.0163, 0.0000, 0.2898) x4  2 Os 3.05, 1 Tl 3.13, 5 Tm 3.16-3.39
Tm (0.0912, 0.5000, 0.9226) x4  1 Os 2.75
Tm (0.1464, 0.5000, 0.4505) x4  1 Os 2.76
Tm (0.1984, 0.0000, 0.7888) x4  1 Tl 3.05, 2 Tm 3.39
Tl (0.1778, 0.0000, 0.2090) x4  7 Tm 3.05-3.29
Os (0.0000, 0.5000, 0.5000) x2  8 Tm 2.75-3.05

Values from the calculation:
- Density: 10.87 g cm⁻³
- Total DFT energy (no corrections): -0.180 hartree per atom

---

[12]
A relaxed structure of Na2Sc2Br7, computed with PBE.

a = 8.4290 Å, b = 13.0387 Å, c = 7.2830 Å
α = 90.00°, β = 95.85°, γ = 90.00°
With the nearest neighbours (Å) after each atom.
Space group C2/m (No. 12)
Asymmetric unit:
Na (0.0000, 0.2072, 0.0000) x4  4 Br 2.91-2.96
Sc (0.2047, 0.0000, 0.6074) x4  5 Br 2.60-2.74
Br (0.0000, 0.5000, 0.5000) x2  2 Sc 2.68
Br (0.0874, 0.0000, 0.2571) x4  2 Sc 2.64-2.74
Br (0.2453, 0.3216, 0.2371) x8  1 Sc 2.60, 1 Na 2.91

Values from the calculation:
- Polymorph energy (0 for the lowest one): 0.000 eV/atom
- Density: 2.90 g cm⁻³
- E_form (uncorrected): -1.53 eV/atom

---

[13]
A relaxed structure of Sm4HO5, computed with PBE.

a = 7.5821 Å, b = 7.6045 Å, c = 5.7005 Å
α = 90.00°, β = 90.00°, γ = 90.00°
With the nearest neighbours (Å) after each atom.
Space group Pmmn (No. 59, origin choice 2)
Asymmetric unit:
Sm (0.0028, 0.2500, 0.0300) x4  5 O 2.29-2.49, 1 H 2.32
Sm (0.2500, 0.0009, 0.5227) x4  5 O 2.31-2.46, 1 H 2.38
H (0.2500, 0.2500, 0.2687) x2  4 Sm 2.32-2.38
O (0.0236, 0.5323, 0.2501) x8  4 Sm 2.31-2.49
O (0.2500, 0.7500, 0.7509) x2  4 Sm 2.29-2.31

Values from the calculation:
- Density: 6.90 g cm⁻³
- Total DFT energy (no corrections): -0.277 hartree per atom

---

[14]
A relaxed structure of Zn2GePb2, computed with PBE.

a = 3.6714 Å, b = 3.6714 Å, c = 18.0275 Å
α = 90.00°, β = 90.00°, γ = 90.00°
With the nearest neighbours (Å) after each atom.
Space group I4/mmm (No. 139)
Asymmetric unit:
Zn (0.0000, 0.5000, 0.2500) x4  4 Zn 2.60
Ge (0.0000, 0.0000, 0.0000) x2  8 Pb 3.19
Pb (0.0000, 0.0000, 0.3967) x4  4 Ge 3.19, 4 Zn 3.22

Values from the calculation:
- Polymorph energy (0 for the lowest one): 0.063 eV/atom
- Density: 8.44 g cm⁻³

---

[15]
A relaxed structure of Pm5NdTh2, computed with PBE.

a = 3.5712 Å, b = 11.3897 Å, c = 13.5066 Å
α = 90.00°, β = 90.00°, γ = 90.00°
With the nearest neighbours (Å) after each atom.
Space group Immm (No. 71)
Asymmetric unit:
Pm (0.0000, 0.0000, 0.0000) x2  2 Th 3.49, 10 Pm 3.57-3.66
Pm (0.0000, 0.2663, 0.3692) x8  3 Th 3.38-3.64, 7 Pm 3.53-3.70
Nd (0.0000, 0.5000, 0.0000) x2  2 Nd 3.57, 4 Th 3.72, 8 Pm 3.94
Th (0.0000, 0.0000, 0.2587) x4  7 Pm 3.38-3.64, 2 Th 3.57, 2 Nd 3.72

Values from the calculation:
- Density: 8.06 g cm⁻³
- Total DFT energy (no corrections): -0.195 hartree per atom

---

[16]
A relaxed structure of BaCd8AgHg2, computed with PBE.

a = 8.9291 Å, b = 5.9009 Å, c = 12.0413 Å
α = 90.00°, β = 103.90°, γ = 90.00°
With the nearest neighbours (Å) after each atom.
Space group C2/m (No. 12)
Asymmetric unit:
Ba (0.0000, 0.0000, 0.0000) x2  6 Hg 3.29-3.45, 2 Cd 3.47
Cd (0.0432, 0.2496, 0.3074) x8  1 Ag 2.85, 6 Cd 2.95-3.19, 1 Hg 3.00
Cd (0.1739, 0.5000, 0.5455) x4  7 Cd 3.03-3.27, 3 Ag 3.09-3.32
Cd (0.2474, 0.5000, 0.1787) x4  4 Cd 3.04-3.10, 4 Hg 3.21-3.40
Ag (0.0000, 0.0000, 0.5000) x2  6 Cd 2.85-3.09
Hg (0.1225, 0.5000, 0.9027) x4  4 Cd 3.00-3.24, 1 Ba 3.29

Values from the calculation:
- Density: 8.34 g cm⁻³
- Total DFT energy (no corrections): -0.042 hartree per atom

---

[17]
A relaxed structure of HPd2AuSe, computed with PBE.

a = 4.3882 Å, b = 4.3882 Å, c = 3.7297 Å
α = 90.00°, β = 90.00°, γ = 90.00°
With the nearest neighbours (Å) after each atom.
Space group P4/mmm (No. 123)
Asymmetric unit:
H (0.0000, 0.0000, 0.0000) x1  2 Au 1.86
Pd (0.0000, 0.5000, 0.0000) x2  2 H 2.19
Au (0.0000, 0.0000, 0.5000) x1  2 H 1.86
Se (0.5000, 0.5000, 0.5000) x1  8 Pd 2.88, 4 Au 3.10

Values from the calculation:
- Polymorph energy (0 for the lowest one): 0.000 eV/atom
- Density: 11.32 g cm⁻³

---

[18]
A relaxed structure of MgUZn2O6, computed with PBE.

a = 5.3477 Å, b = 5.3477 Å, c = 14.5366 Å
α = 90.00°, β = 90.00°, γ = 120.00°
With the nearest neighbours (Å) after each atom.
Space group R3 (No. 146, hexagonal axes)
Asymmetric unit:
Mg (0.0000, 0.0000, 0.0000) x3  6 O 2.11-2.15
U (0.0000, 0.0000, 0.4990) x3  6 O 2.10-2.11
Zn (0.0000, 0.0000, 0.2849) x3  3 O 2.01
Zn (0.0000, 0.0000, 0.7821) x3  3 O 2.00
O (0.0292, 0.3493, 0.5735) x9  1 Zn 2.01, 1 U 2.10, 1 Mg 2.15
O (0.0339, 0.6789, 0.0738) x9  1 Zn 2.00, 1 Mg 2.11, 1 U 2.11

Values from the calculation:
- Density: 6.77 g cm⁻³
- E_form (uncorrected): -2.31 eV/atom

---

[19]
A relaxed structure of Pm3MgTe4, computed with PBE.

a = 6.2739 Å, b = 6.2739 Å, c = 12.5762 Å
α = 90.00°, β = 90.00°, γ = 90.00°
With the nearest neighbours (Å) after each atom.
Space group I4/mmm (No. 139)
Asymmetric unit:
Pm (0.0000, 0.0000, 0.0000) x2  6 Te 3.14-3.29
Pm (0.0000, 0.5000, 0.2500) x4  6 Te 3.14
Mg (0.0000, 0.0000, 0.5000) x2  6 Te 2.99-3.14
Te (0.0000, 0.0000, 0.2619) x4  1 Mg 2.99, 5 Pm 3.14-3.29
Te (0.0000, 0.5000, 0.0000) x4  2 Mg 3.14, 4 Pm 3.14

Values from the calculation:
- Polymorph energy (0 for the lowest one): 0.000 eV/atom
- Density: 6.51 g cm⁻³
- E_form (uncorrected): -1.23 eV/atom

---

[20]
A relaxed structure of AlTlS2N, computed with PBE.

a = 5.2605 Å, b = 5.2605 Å, c = 4.2551 Å
α = 90.00°, β = 90.00°, γ = 90.00°
With the nearest neighbours (Å) after each atom.
Space group P4/mmm (No. 123)
Asymmetric unit:
Al (0.0000, 0.0000, 0.0000) x1  8 S 3.38, 4 N 3.72
Tl (0.5000, 0.5000, 0.5000) x1  2 N 2.13
S (0.0000, 0.5000, 0.5000) x2  2 Tl 2.63
N (0.5000, 0.5000, 0.0000) x1  2 Tl 2.13

Values from the calculation:
- Polymorph energy (0 for the lowest one): 1.083 eV/atom
- Density: 4.36 g cm⁻³
- E_form (uncorrected): 1.23 eV/atom

---

[21]
A relaxed structure of NaCu2W, computed with PBE.

a = 6.2115 Å, b = 6.2115 Å, c = 6.2115 Å
α = 90.00°, β = 90.00°, γ = 90.00°
With the nearest neighbours (Å) after each atom.
Space group Fm-3m (No. 225)
Asymmetric unit:
Na (0.0000, 0.0000, 0.0000) x4  8 Cu 2.69
Cu (0.2500, 0.2500, 0.2500) x8  4 W 2.69, 4 Na 2.69
W (0.0000, 0.0000, 0.5000) x4  8 Cu 2.69

Values from the calculation:
- Polymorph energy (0 for the lowest one): 0.000 eV/atom
- Density: 9.25 g cm⁻³

---

[22]
A relaxed structure of CaScSi2, computed with PBE.

a = 4.4397 Å, b = 4.4397 Å, c = 3.9974 Å
α = 90.00°, β = 90.00°, γ = 90.00°
With the nearest neighbours (Å) after each atom.
Space group P4/mmm (No. 123)
Asymmetric unit:
Ca (0.0000, 0.0000, 0.0000) x1  8 Si 2.99, 4 Sc 3.14
Sc (0.5000, 0.5000, 0.0000) x1  8 Si 2.99, 4 Ca 3.14
Si (0.0000, 0.5000, 0.5000) x2  4 Ca 2.99, 4 Sc 2.99, 4 Si 3.14

Values from the calculation:
- Polymorph energy (0 for the lowest one): 0.149 eV/atom
- Density: 2.98 g cm⁻³
- E_form (uncorrected): -0.30 eV/atom

---

[23]
A relaxed structure of CsNaMgAs2, computed with PBE.

a = 5.8782 Å, b = 5.8782 Å, c = 5.5522 Å
α = 90.00°, β = 90.00°, γ = 90.00°
With the nearest neighbours (Å) after each atom.
Space group P4/mmm (No. 123)
Asymmetric unit:
Cs (0.0000, 0.0000, 0.0000) x1  2 Na 2.78, 4 As 2.94
Na (0.0000, 0.0000, 0.5000) x1  2 Cs 2.78
Mg (0.5000, 0.5000, 0.5000) x1  8 As 4.04, 4 Na 4.16
As (0.0000, 0.5000, 0.0000) x2  2 Cs 2.94

Values from the calculation:
- Density: 2.86 g cm⁻³
- Total DFT energy (no corrections): -0.059 hartree per atom

---

[24]
A relaxed structure of AcCuAgGe, computed with PBE.

a = 7.1226 Å, b = 7.1226 Å, c = 7.1226 Å
α = 90.00°, β = 90.00°, γ = 90.00°
With the nearest neighbours (Å) after each atom.
Space group F-43m (No. 216)
Asymmetric unit:
Ac (0.0000, 0.0000, 0.0000) x4  4 Cu 3.08, 4 Ag 3.08
Cu (0.2500, 0.2500, 0.7500) x4  4 Ge 3.08, 4 Ac 3.08
Ag (0.2500, 0.2500, 0.2500) x4  4 Ge 3.08, 4 Ac 3.08
Ge (0.0000, 0.0000, 0.5000) x4  4 Cu 3.08, 4 Ag 3.08

Values from the calculation:
- Density: 8.66 g cm⁻³
- Total DFT energy (no corrections): -0.149 hartree per atom